Entry 1:
## SrYCd2Re (PBE-GGA)

Data for crystalline SrYCd2Re at its relaxed geometry. Values from VASP.

Properties
Total energy in Ha/atom: -0.0966
Crystal system: tetragonal

Geometry as Quantum ESPRESSO input:
```
&SYSTEM
  ibrav = 0, nat = 5, ntyp = 4
/
ATOMIC_SPECIES
Sr 87.62 Sr.upf
Y 88.91 Y.upf
Cd 112.41 Cd.upf
Re 186.21 Re.upf
CELL_PARAMETERS angstrom
5.6821 0.0000 0.0000
0.0000 5.6821 0.0000
0.0000 0.0000 6.4164
ATOMIC_POSITIONS crystal
Sr 0.0000 0.0000 0.0000
Y 0.0000 0.0000 0.5000
Cd 0.0000 0.5000 0.5000
Cd 0.5000 0.0000 0.5000
Re 0.5000 0.5000 0.0000
```

Entry 2:
## TaCdRe2 (PBE-GGA)

Data for crystalline TaCdRe2 at its relaxed geometry. Values from VASP.

Properties
Total energy in Ha/atom: -0.3296
Crystal system: monoclinic

Geometry as Quantum ESPRESSO input:
```
&SYSTEM
  ibrav = 0, nat = 4, ntyp = 3
/
ATOMIC_SPECIES
Ta 180.95 Ta.upf
Cd 112.41 Cd.upf
Re 186.21 Re.upf
CELL_PARAMETERS angstrom
2.8749 -2.8625 0.0000
2.8749 2.8625 0.0000
-2.7942 0.0000 4.1255
ATOMIC_POSITIONS crystal
Ta 0.0000 0.0000 0.0000
Cd 0.5000 0.5000 0.0000
Re 0.2240 0.7760 0.5000
Re 0.7760 0.2240 0.5000
```

Entry 3:
## Ta2CdRe (PBE-GGA)

Data for crystalline Ta2CdRe at its relaxed geometry. Values from VASP.

Properties
Total energy in Ha/atom: -0.3315
Crystal system: trigonal

Geometry as Quantum ESPRESSO input:
```
&SYSTEM
  ibrav = 0, nat = 4, ntyp = 3
/
ATOMIC_SPECIES
Ta 180.95 Ta.upf
Cd 112.41 Cd.upf
Re 186.21 Re.upf
CELL_PARAMETERS angstrom
1.5235 0.8796 9.1939
-1.5235 0.8796 9.1939
0.0000 -1.7592 9.1939
ATOMIC_POSITIONS crystal
Ta 0.2410 0.2410 0.2410
Ta 0.7590 0.7590 0.7590
Cd 0.0000 0.0000 0.0000
Re 0.5000 0.5000 0.5000
```

Entry 4:
## Ta2CdRe (PBE-GGA)

Data for crystalline Ta2CdRe at its relaxed geometry. Values from VASP.

Properties
Total energy in Ha/atom: -0.3291
Crystal system: monoclinic

Geometry as Quantum ESPRESSO input:
```
&SYSTEM
  ibrav = 0, nat = 4, ntyp = 3
/
ATOMIC_SPECIES
Ta 180.95 Ta.upf
Cd 112.41 Cd.upf
Re 186.21 Re.upf
CELL_PARAMETERS angstrom
4.8588 -1.3751 0.0000
4.8588 1.3751 0.0000
-0.5727 0.0000 5.3074
ATOMIC_POSITIONS crystal
Ta 0.0000 0.0000 0.0000
Ta 0.2463 0.2463 0.7318
Cd 0.4952 0.4952 0.4918
Re 0.7502 0.7502 0.2292
```

Entry 5:
## TaCdRe3 (PBE-GGA)

Data for crystalline TaCdRe3 at its relaxed geometry. Values from VASP.

Properties
Crystal system: cubic
Energy relative to the lowest polymorph listed for this composition in meV per atom: 760.1

Geometry as Quantum ESPRESSO input:
```
&SYSTEM
  ibrav = 0, nat = 5, ntyp = 3
/
ATOMIC_SPECIES
Ta 180.95 Ta.upf
Cd 112.41 Cd.upf
Re 186.21 Re.upf
CELL_PARAMETERS angstrom
4.7111 0.0000 0.0000
0.0000 4.7111 0.0000
0.0000 0.0000 4.7111
ATOMIC_POSITIONS crystal
Ta 0.0000 0.0000 0.0000
Cd 0.5000 0.5000 0.5000
Re 0.0000 0.5000 0.5000
Re 0.5000 0.0000 0.5000
Re 0.5000 0.5000 0.0000
```

Entry 6:
## TaCdRe2 (PBE-GGA)

Data for crystalline TaCdRe2 at its relaxed geometry. Values from VASP.

Properties
Total energy in Ha/atom: -0.3335
Crystal system: monoclinic

Geometry as Quantum ESPRESSO input:
```
&SYSTEM
  ibrav = 0, nat = 4, ntyp = 3
/
ATOMIC_SPECIES
Ta 180.95 Ta.upf
Cd 112.41 Cd.upf
Re 186.21 Re.upf
CELL_PARAMETERS angstrom
2.7467 0.0000 0.0000
0.0000 4.5518 0.0000
-0.8991 0.0000 5.3660
ATOMIC_POSITIONS crystal
Ta 0.0000 0.0000 0.0000
Cd 0.5000 0.0000 0.5000
Re 0.2163 0.5000 0.7500
Re 0.7837 0.5000 0.2500
```

Entry 7:
## TaCd2Re (PBE-GGA)

Data for crystalline TaCd2Re at its relaxed geometry. Values from VASP.

Properties
Crystal system: monoclinic
Energy relative to the lowest polymorph listed for this composition in meV per atom: 124.0

Geometry as Quantum ESPRESSO input:
```
&SYSTEM
  ibrav = 0, nat = 4, ntyp = 3
/
ATOMIC_SPECIES
Ta 180.95 Ta.upf
Cd 112.41 Cd.upf
Re 186.21 Re.upf
CELL_PARAMETERS angstrom
2.8684 0.0000 0.0000
0.0000 4.2348 0.0000
-0.4296 0.0000 6.1487
ATOMIC_POSITIONS crystal
Ta 0.0000 0.0000 0.0000
Cd 0.1016 0.0000 0.5317
Cd 0.5680 0.5000 0.2821
Re 0.6415 0.5000 0.8041
```

Entry 8:
## Ta2CdRe (PBE-GGA)

Data for crystalline Ta2CdRe at its relaxed geometry. Values from VASP.

Properties
Total energy in Ha/atom: -0.3265
Crystal system: trigonal

Geometry as Quantum ESPRESSO input:
```
&SYSTEM
  ibrav = 0, nat = 4, ntyp = 3
/
ATOMIC_SPECIES
Ta 180.95 Ta.upf
Cd 112.41 Cd.upf
Re 186.21 Re.upf
CELL_PARAMETERS angstrom
1.4321 0.8268 10.1204
-1.4321 0.8268 10.1204
0.0000 -1.6537 10.1204
ATOMIC_POSITIONS crystal
Ta 0.0000 0.0000 0.0000
Ta 0.2481 0.2481 0.2481
Cd 0.4938 0.4938 0.4938
Re 0.7448 0.7448 0.7448
```

Entry 9:
## Ta2CdRe (PBE-GGA)

Data for crystalline Ta2CdRe at its relaxed geometry. Values from VASP.

Properties
Total energy in Ha/atom: -0.3373
Crystal system: tetragonal

Geometry as Quantum ESPRESSO input:
```
&SYSTEM
  ibrav = 0, nat = 4, ntyp = 3
/
ATOMIC_SPECIES
Ta 180.95 Ta.upf
Cd 112.41 Cd.upf
Re 186.21 Re.upf
CELL_PARAMETERS angstrom
3.1690 0.0000 0.0000
0.0000 3.1690 0.0000
0.0000 0.0000 7.1985
ATOMIC_POSITIONS crystal
Ta 0.0000 0.0000 0.2185
Ta 0.0000 0.0000 0.7815
Cd 0.5000 0.5000 0.5000
Re 0.5000 0.5000 0.0000
```

Entry 10:
## TaCd2Re (PBE-GGA)

Data for crystalline TaCd2Re at its relaxed geometry. Values from VASP.

Properties
Crystal system: tetragonal
Energy relative to the lowest polymorph listed for this composition in meV per atom: 292.9

Geometry as Quantum ESPRESSO input:
```
&SYSTEM
  ibrav = 0, nat = 4, ntyp = 3
/
ATOMIC_SPECIES
Ta 180.95 Ta.upf
Cd 112.41 Cd.upf
Re 186.21 Re.upf
CELL_PARAMETERS angstrom
-2.1438 2.1438 3.9188
2.1438 -2.1438 3.9188
2.1438 2.1438 -3.9188
ATOMIC_POSITIONS crystal
Ta 0.0000 0.0000 0.0000
Cd 0.2500 0.7500 0.5000
Cd 0.5000 0.5000 0.0000
Re 0.7500 0.2500 0.5000
```

Entry 11:
## TaCdRe2 (PBE-GGA)

Data for crystalline TaCdRe2 at its relaxed geometry. Values from VASP.

Properties
Total energy in Ha/atom: -0.3360
Crystal system: monoclinic

Geometry as Quantum ESPRESSO input:
```
&SYSTEM
  ibrav = 0, nat = 4, ntyp = 3
/
ATOMIC_SPECIES
Ta 180.95 Ta.upf
Cd 112.41 Cd.upf
Re 186.21 Re.upf
CELL_PARAMETERS angstrom
2.9292 0.0000 0.0000
0.0000 3.9853 0.0000
-0.0093 0.0000 5.8431
ATOMIC_POSITIONS crystal
Ta 0.0000 0.0000 0.0000
Cd 0.5033 0.5000 0.2821
Re 0.0041 0.0000 0.5631
Re 0.5084 0.5000 0.7659
```

Entry 12:
## TaCdRe3 (PBE-GGA)

Data for crystalline TaCdRe3 at its relaxed geometry. Values from VASP.

Properties
Crystal system: cubic
Energy relative to the lowest polymorph listed for this composition in meV per atom: 0.0

Geometry as Quantum ESPRESSO input:
```
&SYSTEM
  ibrav = 0, nat = 5, ntyp = 3
/
ATOMIC_SPECIES
Ta 180.95 Ta.upf
Cd 112.41 Cd.upf
Re 186.21 Re.upf
CELL_PARAMETERS angstrom
4.8069 0.0000 0.0000
0.0000 4.8069 0.0000
0.0000 0.0000 4.8069
ATOMIC_POSITIONS crystal
Ta 0.0000 0.0000 0.0000
Cd 0.5000 0.5000 0.5000
Re 0.0000 0.0000 0.5000
Re 0.0000 0.5000 0.0000
Re 0.5000 0.0000 0.0000
```

Entry 13:
## Ta3CdRe (PBE-GGA)

Data for crystalline Ta3CdRe at its relaxed geometry. Values from VASP.

Properties
Crystal system: cubic
Energy relative to the lowest polymorph listed for this composition in meV per atom: 0.0

Geometry as Quantum ESPRESSO input:
```
&SYSTEM
  ibrav = 0, nat = 5, ntyp = 3
/
ATOMIC_SPECIES
Ta 180.95 Ta.upf
Cd 112.41 Cd.upf
Re 186.21 Re.upf
CELL_PARAMETERS angstrom
4.8710 0.0000 0.0000
0.0000 4.8710 0.0000
0.0000 0.0000 4.8710
ATOMIC_POSITIONS crystal
Ta 0.0000 0.0000 0.5000
Ta 0.0000 0.5000 0.0000
Ta 0.5000 0.0000 0.0000
Cd 0.5000 0.5000 0.5000
Re 0.0000 0.0000 0.0000
```

Entry 14:
## TaCd2Re (PBE-GGA)

Data for crystalline TaCd2Re at its relaxed geometry. Values from VASP.

Properties
Crystal system: monoclinic
Energy relative to the lowest polymorph listed for this composition in meV per atom: 209.5

Geometry as Quantum ESPRESSO input:
```
&SYSTEM
  ibrav = 0, nat = 4, ntyp = 3
/
ATOMIC_SPECIES
Ta 180.95 Ta.upf
Cd 112.41 Cd.upf
Re 186.21 Re.upf
CELL_PARAMETERS angstrom
4.8486 -1.3899 0.0000
4.8486 1.3899 0.0000
-0.5239 0.0000 5.4175
ATOMIC_POSITIONS crystal
Ta 0.0000 0.0000 0.0000
Cd 0.2485 0.2485 0.7084
Cd 0.4950 0.4950 0.4853
Re 0.7511 0.7511 0.1950
```

Entry 15:
## TaCdRe2 (PBE-GGA)

Data for crystalline TaCdRe2 at its relaxed geometry. Values from VASP.

Properties
Total energy in Ha/atom: -0.3269
Crystal system: cubic

Geometry as Quantum ESPRESSO input:
```
&SYSTEM
  ibrav = 0, nat = 4, ntyp = 3
/
ATOMIC_SPECIES
Ta 180.95 Ta.upf
Cd 112.41 Cd.upf
Re 186.21 Re.upf
CELL_PARAMETERS angstrom
0.0000 3.2270 3.2270
3.2270 0.0000 3.2270
3.2270 3.2270 0.0000
ATOMIC_POSITIONS crystal
Ta 0.0000 0.0000 0.0000
Cd 0.2500 0.2500 0.2500
Re 0.5000 0.5000 0.5000
Re 0.7500 0.7500 0.7500
```

Entry 16:
## TaCdRe2 (PBE-GGA)

Data for crystalline TaCdRe2 at its relaxed geometry. Values from VASP.

Properties
Total energy in Ha/atom: -0.3381
Crystal system: tetragonal

Geometry as Quantum ESPRESSO input:
```
&SYSTEM
  ibrav = 0, nat = 4, ntyp = 3
/
ATOMIC_SPECIES
Ta 180.95 Ta.upf
Cd 112.41 Cd.upf
Re 186.21 Re.upf
CELL_PARAMETERS angstrom
2.9376 0.0000 0.0000
0.0000 2.9376 0.0000
0.0000 0.0000 8.0656
ATOMIC_POSITIONS crystal
Ta 0.0000 0.0000 0.0000
Cd 0.5000 0.5000 0.2843
Re 0.0000 0.0000 0.5581
Re 0.5000 0.5000 0.7470
```

Entry 17:
## Ta2CdRe (PBE-GGA)

Data for crystalline Ta2CdRe at its relaxed geometry. Values from VASP.

Properties
Total energy in Ha/atom: -0.3376
Crystal system: orthorhombic

Geometry as Quantum ESPRESSO input:
```
&SYSTEM
  ibrav = 0, nat = 4, ntyp = 3
/
ATOMIC_SPECIES
Ta 180.95 Ta.upf
Cd 112.41 Cd.upf
Re 186.21 Re.upf
CELL_PARAMETERS angstrom
1.6436 -2.3161 0.0000
1.6436 2.3161 0.0000
0.0000 0.0000 9.3853
ATOMIC_POSITIONS crystal
Ta 0.0000 0.0000 0.2299
Ta 0.0000 0.0000 0.7701
Cd 0.5000 0.5000 0.5000
Re 0.5000 0.5000 0.0000
```

Entry 18:
## Ta2CdRe (PBE-GGA)

Data for crystalline Ta2CdRe at its relaxed geometry. Values from VASP.

Properties
Total energy in Ha/atom: -0.3335
Crystal system: monoclinic

Geometry as Quantum ESPRESSO input:
```
&SYSTEM
  ibrav = 0, nat = 4, ntyp = 3
/
ATOMIC_SPECIES
Ta 180.95 Ta.upf
Cd 112.41 Cd.upf
Re 186.21 Re.upf
CELL_PARAMETERS angstrom
2.8056 0.0000 0.0000
0.0000 4.6776 0.0000
-0.8876 0.0000 5.4232
ATOMIC_POSITIONS crystal
Ta 0.0000 0.0000 0.0000
Ta 0.2801 0.5000 0.7326
Cd 0.6622 0.5000 0.2449
Re 0.5483 0.0000 0.5332
```

Entry 19:
## Ta2CdRe (PBE-GGA)

Data for crystalline Ta2CdRe at its relaxed geometry. Values from VASP.

Properties
Total energy in Ha/atom: -0.3332
Crystal system: orthorhombic

Geometry as Quantum ESPRESSO input:
```
&SYSTEM
  ibrav = 0, nat = 4, ntyp = 3
/
ATOMIC_SPECIES
Ta 180.95 Ta.upf
Cd 112.41 Cd.upf
Re 186.21 Re.upf
CELL_PARAMETERS angstrom
-1.6435 2.3177 4.6988
1.6435 -2.3177 4.6988
1.6435 2.3177 -4.6988
ATOMIC_POSITIONS crystal
Ta 0.0000 0.0000 0.0000
Ta 0.7433 0.2433 0.5000
Cd 0.4745 0.4745 0.0000
Re 0.2199 0.7199 0.5000
```

Entry 20:
## TaCd2Re (PBE-GGA)

Data for crystalline TaCd2Re at its relaxed geometry. Values from VASP.

Properties
Crystal system: monoclinic
Energy relative to the lowest polymorph listed for this composition in meV per atom: 182.6

Geometry as Quantum ESPRESSO input:
```
&SYSTEM
  ibrav = 0, nat = 4, ntyp = 3
/
ATOMIC_SPECIES
Ta 180.95 Ta.upf
Cd 112.41 Cd.upf
Re 186.21 Re.upf
CELL_PARAMETERS angstrom
5.2802 -1.7131 0.0000
5.2802 1.7131 0.0000
-1.7871 0.0000 4.0032
ATOMIC_POSITIONS crystal
Ta 0.0000 0.0000 0.0000
Cd 0.2441 0.2441 0.7439
Cd 0.7559 0.7559 0.2561
Re 0.5000 0.5000 0.5000
```

Number 1: magnetization 0.81 μB per atom. Number 2: magnetization 0.00 μB per atom. Number 3: magnetization 0.00 μB per atom. Number 4: magnetization 0.00 μB per atom. Number 5: magnetization 0.00 μB per atom. Number 6: magnetization 0.00 μB per atom. Number 7: magnetization 0.00 μB per atom. Number 8: magnetization 0.00 μB per atom. Number 9: magnetization 0.00 μB per atom. Number 10: magnetization 0.00 μB per atom. Number 11: magnetization 0.00 μB per atom. Number 12: magnetization 0.48 μB per atom. Number 13: magnetization 0.00 μB per atom. Number 14: magnetization 0.00 μB per atom. Number 15: magnetization 0.00 μB per atom. Number 16: magnetization 0.00 μB per atom. Number 17: magnetization 0.00 μB per atom. Number 18: magnetization 0.00 μB per atom. Number 19: magnetization 0.00 μB per atom. Number 20: magnetization 0.00 μB per atom.